CaEu2Hg | Alexandria | PBE-GGA | optimized geometry; symmetry = No. 123; VASP energy = -5.994 eV/atom; ΔH_f (0 K) = -6.5 kcal/mol of atoms; distance to the lowest polymorph of the same formula = 0.0 kJ/mol of atoms
1.0
-1.561 3.289 -1.426
-3.577 -1.323 0.864
0.595 4.016 8.609
Eu Hg Ca
2 1 1
direct
0.000 0.000 0.197
0.000 0.000 0.803
0.500 0.500 0.000
0.500 0.500 0.500